Entry 1:
AlCl3 | PBE | relaxed

Computed properties:
space group: P4/mmm (123)
density of states at the Fermi level: 4.6 states/eV per cell
total magnetic moment: 0.752 μB/cell
energy relative to the elements, uncorrected: 0.4 eV/f.u.

a b c (Å): 4.5637 4.5637 3.9198
angles (deg): 90.00 90.00 90.00
Site moments in Bohr magnetons follow the coordinates.
Element x y z (fractional)
1 Al 0.0000 0.0000 0.0000  0.01
2 Cl 0.5000 0.0000 0.5000  0.14
3 Cl 0.5000 0.5000 0.0000  0.34
4 Cl 0.0000 0.5000 0.5000  0.14


Entry 2:
AlCl4 | PBE | relaxed

Computed properties:
space group: I4/m (87)
density of states at the Fermi level: 3.1 states/eV per cell
total magnetic moment: 0.720 μB/cell
energy relative to the elements, uncorrected: -2.9 eV/f.u.

a b c (Å): 7.0400 7.0400 7.0400
angles (deg): 92.81 92.81 154.40
Site moments in Bohr magnetons follow the coordinates.
Element x y z (fractional)
1 Al 0.0000 0.0000 0.0000  0.00
2 Cl 0.7074 0.5023 0.2097  0.15
3 Cl 0.5023 0.2926 0.7948  0.15
4 Cl 0.2926 0.4977 0.7903  0.15
5 Cl 0.4977 0.7074 0.2052  0.15


Entry 3:
AlCl7 | PBE | relaxed

Computed properties:
space group: Fm-3m (225)
density of states at the Fermi level: 11.1 states/eV per cell
total magnetic moment: 1.837 μB/cell
energy relative to the elements, uncorrected: 4.0 eV/f.u.

a b c (Å): 6.1716 6.1716 6.1716
angles (deg): 60.00 60.00 60.00
Site moments in Bohr magnetons follow the coordinates.
Element x y z (fractional)
1 Al 0.0000 0.0000 0.0000  0.04
2 Cl 0.5000 0.5000 0.0000  0.26
3 Cl 0.5000 0.0000 0.5000  0.26
4 Cl 0.5000 0.0000 0.0000  0.26
5 Cl 0.0000 0.0000 0.5000  0.26
6 Cl 0.0000 0.5000 0.0000  0.26
7 Cl 0.0000 0.5000 0.5000  0.26
8 Cl 0.5000 0.5000 0.5000  -0.13


Entry 4:
AlCl4 | PBE | relaxed

Computed properties:
space group: Im-3m (229)
density of states at the Fermi level: 4.1 states/eV per cell
total magnetic moment: 0.000 μB/cell
energy relative to the elements, uncorrected: -1.7 eV/f.u.

a b c (Å): 5.2468 5.2468 5.2468
angles (deg): 109.47 109.47 109.47
Element x y z (fractional)
1 Al 0.0000 0.0000 0.0000
2 Cl 0.5000 0.0000 0.0000
3 Cl 0.5000 0.5000 0.5000
4 Cl 0.0000 0.5000 0.0000
5 Cl 0.0000 0.0000 0.5000


Entry 5:
Al3Cl | PBE | relaxed

Computed properties:
space group: Fm-3m (225)
density of states at the Fermi level: 2.4 states/eV per cell
total magnetic moment: 0.000 μB/cell
energy relative to the elements, uncorrected: 0.8 eV/f.u.

a b c (Å): 4.7692 4.7692 4.7692
angles (deg): 60.00 60.00 60.00
Element x y z (fractional)
1 Al 0.0000 0.0000 0.0000
2 Al 0.7500 0.7500 0.7500
3 Al 0.5000 0.5000 0.5000
4 Cl 0.2500 0.2500 0.2500


Entry 6:
Al3Cl | PBE | relaxed

Computed properties:
space group: Pmmn (59)
density of states at the Fermi level: 3.7 states/eV per cell
total magnetic moment: 0.000 μB/cell
energy relative to the elements, uncorrected: 0.6 eV/f.u.

a b c (Å): 5.2822 5.3334 5.5564
angles (deg): 90.00 90.00 90.00
Element x y z (fractional)
1 Al 0.5000 0.2554 0.0000
2 Al 0.0000 0.7446 0.5000
3 Al 0.0000 0.2216 0.2505
4 Al 0.0000 0.2216 0.7495
5 Al 0.5000 0.7784 0.7505
6 Al 0.5000 0.7784 0.2495
7 Cl 0.0000 0.7098 0.0000
8 Cl 0.5000 0.2902 0.5000


Entry 7:
AlCl3 | PBE | relaxed

Computed properties:
space group: I4/mmm (139)
density of states at the Fermi level: 2.5 states/eV per cell
total magnetic moment: 0.000 μB/cell
energy relative to the elements, uncorrected: -0.8 eV/f.u.

a b c (Å): 12.9477 12.9477 12.9477
angles (deg): 162.33 162.33 25.09
Element x y z (fractional)
1 Al 0.6843 0.6843 0.0000
2 Al 0.3157 0.3157 0.0000
3 Cl 0.0000 0.5000 0.5000
4 Cl 0.5000 0.0000 0.5000
5 Cl 0.7500 0.2500 0.5000
6 Cl 0.2500 0.7500 0.5000
7 Cl 0.8547 0.8547 0.0000
8 Cl 0.1453 0.1453 0.0000


Entry 8:
AlCl3 | PBE | relaxed

Computed properties:
space group: Imm2 (44)
density of states at the Fermi level: 0.0 states/eV per cell
total magnetic moment: 0.000 μB/cell
energy relative to the elements, uncorrected: -5.3 eV/f.u.

a b c (Å): 6.7966 6.7966 6.7966
angles (deg): 153.24 119.92 66.94
Element x y z (fractional)
1 Al 0.9583 0.0000 0.9583
2 Cl 0.6968 0.5000 0.1968
3 Cl 0.9532 0.3641 0.5891
4 Cl 0.2251 0.6359 0.5891